Rb2Ga4Co after structural relaxation. Source: Alexandria, functional PBE.

Cell: 4.6585 4.6585 19.1635 Å, 90.00 90.00 90.00°
Space group I4/mmm (No. 139)
Symmetry-distinct sites (fractional):
Rb (0.0000, 0.0000, 0.1719) x4
Ga (0.0000, 0.0000, 0.3810) x4
Ga (0.0000, 0.5000, 0.0000) x4
Co (0.0000, 0.0000, 0.5000) x2

- E_form: -0.1 eV/f.u.
- Total DFT energy (no corrections): -3.0408 eV/atom
- Total magnetic moment: 1.0 μB/cell
- Calculated volume: 29.7 A^3/atom
- D(E_F): 4.6 states/eV/f.u.